Density functional theory data (GGA-PBE) for an optimized crystal structure of ErTmMnRu.

Geometry as CIF:
```
data_ErTmMnRu
_cell_length_a 6.858
_cell_length_b 6.858
_cell_length_c 6.858
_cell_angle_alpha 90.00
_cell_angle_beta 90.00
_cell_angle_gamma 90.00
_symmetry_space_group_name_H-M 'F -4 3 m'
_symmetry_Int_Tables_number 216
_symmetry_space_group_name_Hall 'F -4 2 3'
loop_
_atom_site_label
_atom_site_fract_x
_atom_site_fract_y
_atom_site_fract_z
Er1 0.000 0.000 0.000
Tm1 0.000 0.000 0.500
Mn1 0.250 0.250 0.250
Ru1 0.250 0.250 0.750
```

Calculated total energy (eV per atom): -7.005
Spin magnetization (μB/cell): 14.4
N(E_F) (states/eV/cell): 12.14
Energy relative to the elements (eV/atom): -0.135



Density functional theory data (GGA-PBE) for an optimized crystal structure of Er6MnS8.

Geometry as CIF:
```
data_Er6MnS8
_cell_length_a 10.863
_cell_length_b 10.863
_cell_length_c 10.863
_cell_angle_alpha 90.00
_cell_angle_beta 90.00
_cell_angle_gamma 90.00
_symmetry_space_group_name_H-M 'F m -3 m'
_symmetry_Int_Tables_number 225
_symmetry_space_group_name_Hall '-F 4 2 3'
loop_
_atom_site_label
_atom_site_fract_x
_atom_site_fract_y
_atom_site_fract_z
Er1 0.000 0.250 0.250
Mn1 0.000 0.000 0.000
S1 0.000 0.000 0.244
S2 0.250 0.250 0.250
```

Calculated total energy (eV per atom): -6.482
Spin magnetization (μB/cell): 18.5
N(E_F) (states/eV/cell): 13.37
E_form (uncorrected) (eV per atom): -1.8441